The following is a PBE-GGA calculation of a relaxed structure of Pr2NpS6, from the Alexandria database.

Cell and atoms, written as CIF:
```
data_Pr2NpS6
_symmetry_space_group_name_H-M 'P 42/m n m'
_symmetry_Int_Tables_number 136
_symmetry_space_group_name_Hall '-P 4n 2n'
_cell_length_a 6.443
_cell_length_b 6.443
_cell_length_c 12.490
_cell_angle_alpha 90.00
_cell_angle_beta 90.00
_cell_angle_gamma 90.00
loop_
_atom_site_label
_atom_site_type_symbol
_atom_site_fract_x
_atom_site_fract_y
_atom_site_fract_z
_atom_site_occupancy
Pr1 Pr 0.000 0.000 0.166 1
Np1 Np 0.000 0.000 0.500 1
S1 S 0.187 0.187 0.349 1
S2 S 0.216 0.216 0.000 1
```

formation energy without anion corrections	-12.7	eV per formula unit



The following is a PBE-GGA calculation of a relaxed structure of PrNpS2, from the Alexandria database.

Cell and atoms, written as CIF:
```
data_PrNpS2
_symmetry_space_group_name_H-M 'R 3 m'
_symmetry_Int_Tables_number 160
_symmetry_space_group_name_Hall 'R 3 -2"'
_cell_length_a 3.8652
_cell_length_b 3.8652
_cell_length_c 21.5364
_cell_angle_alpha 90.00
_cell_angle_beta 90.00
_cell_angle_gamma 120.00
loop_
_atom_site_label
_atom_site_type_symbol
_atom_site_fract_x
_atom_site_fract_y
_atom_site_fract_z
_atom_site_occupancy
Pr1 Pr 0.0000 0.0000 0.0000 1
Np1 Np 0.0000 0.0000 0.8254 1
S1 S 0.0000 0.0000 0.4158 1
S2 S 0.0000 0.0000 0.5772 1
```

formation energy without anion corrections	-6.3	eV per formula unit



The following is a PBE-GGA calculation of a relaxed structure of PrNpS2, from the Alexandria database.

Cell and atoms, written as CIF:
```
data_PrNpS2
_symmetry_space_group_name_H-M 'R -3 m'
_symmetry_Int_Tables_number 166
_symmetry_space_group_name_Hall '-R 3 2"'
_cell_length_a 4.0100
_cell_length_b 4.0100
_cell_length_c 19.5987
_cell_angle_alpha 90.00
_cell_angle_beta 90.00
_cell_angle_gamma 120.00
loop_
_atom_site_label
_atom_site_type_symbol
_atom_site_fract_x
_atom_site_fract_y
_atom_site_fract_z
_atom_site_occupancy
Pr1 Pr 0.0000 0.0000 0.0000 1
Np1 Np 0.0000 0.0000 0.5000 1
S1 S 0.0000 0.0000 0.2441 1
```

formation energy without anion corrections	-6.8	eV per formula unit



The following is a PBE-GGA calculation of a relaxed structure of Pr5NpS8, from the Alexandria database.

Cell and atoms, written as CIF:
```
data_Pr5NpS8
_symmetry_space_group_name_H-M 'I -4'
_symmetry_Int_Tables_number 82
_symmetry_space_group_name_Hall 'I -4'
_cell_length_a 8.613
_cell_length_b 8.613
_cell_length_c 8.585
_cell_angle_alpha 90.00
_cell_angle_beta 90.00
_cell_angle_gamma 90.00
loop_
_atom_site_label
_atom_site_type_symbol
_atom_site_fract_x
_atom_site_fract_y
_atom_site_fract_z
_atom_site_occupancy
Pr1 Pr 0.000 0.000 0.000 1
Pr2 Pr 0.125 0.749 0.622 1
Np1 Np 0.000 0.500 0.250 1
S1 S 0.074 0.821 0.298 1
S2 S 0.076 0.674 0.952 1
```

formation energy without anion corrections	-26.8	eV per formula unit



The following is a PBE-GGA calculation of a relaxed structure of Pr5Np3S12, from the Alexandria database.

Cell and atoms, written as CIF:
```
data_Pr5Np3S12
_symmetry_space_group_name_H-M 'I a -3 d'
_symmetry_Int_Tables_number 230
_symmetry_space_group_name_Hall '-I 4bd 2c 3'
_cell_length_a 16.542
_cell_length_b 16.542
_cell_length_c 16.542
_cell_angle_alpha 90.00
_cell_angle_beta 90.00
_cell_angle_gamma 90.00
loop_
_atom_site_label
_atom_site_type_symbol
_atom_site_fract_x
_atom_site_fract_y
_atom_site_fract_z
_atom_site_occupancy
Pr1 Pr 0.000 0.000 0.000 1
Pr2 Pr 0.000 0.250 0.375 1
Np1 Np 0.000 0.250 0.125 1
S1 S 0.019 0.075 0.654 1
```

formation energy without anion corrections	-30.3	eV per formula unit



The following is a PBE-GGA calculation of a relaxed structure of Pr5Np2S12, from the Alexandria database.

Cell and atoms, written as CIF:
```
data_Pr5Np2S12
_symmetry_space_group_name_H-M 'C 1 2/m 1'
_symmetry_Int_Tables_number 12
_symmetry_space_group_name_Hall '-C 2y'
_cell_length_a 15.651
_cell_length_b 7.530
_cell_length_c 9.146
_cell_angle_alpha 90.00
_cell_angle_beta 107.50
_cell_angle_gamma 90.00
loop_
_atom_site_label
_atom_site_type_symbol
_atom_site_fract_x
_atom_site_fract_y
_atom_site_fract_z
_atom_site_occupancy
Pr1 Pr 0.000 0.000 0.000 1
Pr2 Pr 0.189 0.500 0.325 1
Pr3 Pr 0.205 0.500 0.863 1
Np1 Np 0.000 0.252 0.500 1
S1 S 0.002 0.500 0.710 1
S2 S 0.003 0.000 0.308 1
S3 S 0.149 0.252 0.068 1
S4 S 0.173 0.268 0.588 1
```

formation energy without anion corrections	-32.9	eV per formula unit



The following is a PBE-GGA calculation of a relaxed structure of PrNp5S6, from the Alexandria database.

Cell and atoms, written as CIF:
```
data_PrNp5S6
_symmetry_space_group_name_H-M 'C 1 2/m 1'
_symmetry_Int_Tables_number 12
_symmetry_space_group_name_Hall '-C 2y'
_cell_length_a 6.816
_cell_length_b 11.793
_cell_length_c 6.830
_cell_angle_alpha 90.00
_cell_angle_beta 109.50
_cell_angle_gamma 90.00
loop_
_atom_site_label
_atom_site_type_symbol
_atom_site_fract_x
_atom_site_fract_y
_atom_site_fract_z
_atom_site_occupancy
Pr1 Pr 0.000 0.000 0.000 1
Np1 Np 0.000 0.163 0.500 1
Np2 Np 0.000 0.333 0.000 1
Np3 Np 0.000 0.500 0.500 1
S1 S 0.242 0.500 0.251 1
S2 S 0.245 0.327 0.745 1
```

formation energy without anion corrections	-17.4	eV per formula unit



The following is a PBE-GGA calculation of a relaxed structure of PrNp2S3, from the Alexandria database.

Cell and atoms, written as CIF:
```
data_PrNp2S3
_symmetry_space_group_name_H-M 'I 4/m m m'
_symmetry_Int_Tables_number 139
_symmetry_space_group_name_Hall '-I 4 2'
_cell_length_a 3.988
_cell_length_b 3.988
_cell_length_c 16.854
_cell_angle_alpha 90.00
_cell_angle_beta 90.00
_cell_angle_gamma 90.00
loop_
_atom_site_label
_atom_site_type_symbol
_atom_site_fract_x
_atom_site_fract_y
_atom_site_fract_z
_atom_site_occupancy
Pr1 Pr 0.000 0.000 0.000 1
Np1 Np 0.000 0.000 0.334 1
S1 S 0.000 0.000 0.171 1
S2 S 0.000 0.000 0.500 1
```

formation energy without anion corrections	-9.4	eV per formula unit



The following is a PBE-GGA calculation of a relaxed structure of Pr2Np2S7, from the Alexandria database.

Cell and atoms, written as CIF:
```
data_Pr2Np2S7
_symmetry_space_group_name_H-M 'I m m 2'
_symmetry_Int_Tables_number 44
_symmetry_space_group_name_Hall 'I 2 -2'
_cell_length_a 4.023
_cell_length_b 14.179
_cell_length_c 8.662
_cell_angle_alpha 90.00
_cell_angle_beta 90.00
_cell_angle_gamma 90.00
loop_
_atom_site_label
_atom_site_type_symbol
_atom_site_fract_x
_atom_site_fract_y
_atom_site_fract_z
_atom_site_occupancy
Pr1 Pr 0.000 0.241 0.000 1
Np1 Np 0.000 0.000 0.749 1
Np2 Np 0.000 0.500 0.792 1
S1 S 0.000 0.000 0.070 1
S2 S 0.000 0.104 0.472 1
S3 S 0.000 0.320 0.698 1
S4 S 0.000 0.373 0.297 1
```

formation energy without anion corrections	-17.7	eV per formula unit



The following is a PBE-GGA calculation of a relaxed structure of Pr3NpS6, from the Alexandria database.

Cell and atoms, written as CIF:
```
data_Pr3NpS6
_symmetry_space_group_name_H-M 'P 1 21/m 1'
_symmetry_Int_Tables_number 11
_symmetry_space_group_name_Hall '-P 2yb'
_cell_length_a 11.388
_cell_length_b 4.099
_cell_length_c 11.627
_cell_angle_alpha 90.00
_cell_angle_beta 107.80
_cell_angle_gamma 90.00
loop_
_atom_site_label
_atom_site_type_symbol
_atom_site_fract_x
_atom_site_fract_y
_atom_site_fract_z
_atom_site_occupancy
Pr1 Pr 0.077 0.250 0.169 1
Pr2 Pr 0.182 0.750 0.506 1
Pr3 Pr 0.339 0.250 0.920 1
Np1 Np 0.456 0.250 0.316 1
S1 S 0.023 0.250 0.388 1
S2 S 0.095 0.250 0.929 1
S3 S 0.256 0.750 0.282 1
S4 S 0.318 0.750 0.751 1
S5 S 0.394 0.250 0.542 1
S6 S 0.418 0.750 0.105 1
```

formation energy without anion corrections	-18.3	eV per formula unit



The following is a PBE-GGA calculation of a relaxed structure of PrNpSe2S, from the Alexandria database.

Cell and atoms, written as CIF:
```
data_PrNpSe2S
_symmetry_space_group_name_H-M 'C m c m'
_symmetry_Int_Tables_number 63
_symmetry_space_group_name_Hall '-C 2c 2'
_cell_length_a 4.103
_cell_length_b 13.313
_cell_length_c 9.691
_cell_angle_alpha 90.00
_cell_angle_beta 90.00
_cell_angle_gamma 90.00
loop_
_atom_site_label
_atom_site_type_symbol
_atom_site_fract_x
_atom_site_fract_y
_atom_site_fract_z
_atom_site_occupancy
Pr1 Pr 0.000 0.237 0.250 1
Np1 Np 0.000 0.500 0.000 1
Se1 Se 0.000 0.145 0.565 1
S1 S 0.000 0.412 0.750 1
```

formation energy without anion corrections	-7.9	eV per formula unit



The following is a PBE-GGA calculation of a relaxed structure of PrNpSeS2, from the Alexandria database.

Cell and atoms, written as CIF:
```
data_PrNpSeS2
_symmetry_space_group_name_H-M 'I 4 m m'
_symmetry_Int_Tables_number 107
_symmetry_space_group_name_Hall 'I 4 -2'
_cell_length_a 4.392
_cell_length_b 4.392
_cell_length_c 13.555
_cell_angle_alpha 90.00
_cell_angle_beta 90.00
_cell_angle_gamma 90.00
loop_
_atom_site_label
_atom_site_type_symbol
_atom_site_fract_x
_atom_site_fract_y
_atom_site_fract_z
_atom_site_occupancy
Pr1 Pr 0.000 0.000 0.000 1
Np1 Np 0.000 0.000 0.263 1
Se1 Se 0.000 0.000 0.628 1
S1 S 0.000 0.500 0.374 1
```

formation energy without anion corrections	-6.2	eV per formula unit



The following is a PBE-GGA calculation of a relaxed structure of PrSmNp2S4, from the Alexandria database.

Cell and atoms, written as CIF:
```
data_PrSmNp2S4
_symmetry_space_group_name_H-M 'P 1 2/m 1'
_symmetry_Int_Tables_number 10
_symmetry_space_group_name_Hall '-P 2y'
_cell_length_a 6.887
_cell_length_b 3.981
_cell_length_c 6.915
_cell_angle_alpha 90.00
_cell_angle_beta 109.43
_cell_angle_gamma 90.00
loop_
_atom_site_label
_atom_site_type_symbol
_atom_site_fract_x
_atom_site_fract_y
_atom_site_fract_z
_atom_site_occupancy
Pr1 Pr 0.000 0.000 0.000 1
Sm1 Sm 0.000 0.500 0.500 1
Np1 Np 0.500 0.000 0.500 1
Np2 Np 0.500 0.500 0.000 1
S1 S 0.262 0.000 0.751 1
S2 S 0.265 0.500 0.258 1
```

formation energy without anion corrections	-13.6	eV per formula unit



The following is a PBE-GGA calculation of a relaxed structure of Sr2PrNpS6, from the Alexandria database.

Cell and atoms, written as CIF:
```
data_Sr2PrNpS6
_symmetry_space_group_name_H-M 'P 1 21/c 1'
_symmetry_Int_Tables_number 14
_symmetry_space_group_name_Hall '-P 2ybc'
_cell_length_a 7.022
_cell_length_b 7.530
_cell_length_c 12.382
_cell_angle_alpha 90.00
_cell_angle_beta 124.14
_cell_angle_gamma 90.00
loop_
_atom_site_label
_atom_site_type_symbol
_atom_site_fract_x
_atom_site_fract_y
_atom_site_fract_z
_atom_site_occupancy
Sr1 Sr 0.221 0.081 0.250 1
Pr1 Pr 0.500 0.000 0.000 1
Np1 Np 0.000 0.000 0.500 1
S1 S 0.111 0.206 0.933 1
S2 S 0.235 0.685 0.937 1
S3 S 0.360 0.043 0.738 1
```

formation energy without anion corrections	-17.3	eV per formula unit



The following is a PBE-GGA calculation of a relaxed structure of PrNpTeS2, from the Alexandria database.

Cell and atoms, written as CIF:
```
data_PrNpTeS2
_symmetry_space_group_name_H-M 'I 4 m m'
_symmetry_Int_Tables_number 107
_symmetry_space_group_name_Hall 'I 4 -2'
_cell_length_a 4.494
_cell_length_b 4.494
_cell_length_c 13.747
_cell_angle_alpha 90.00
_cell_angle_beta 90.00
_cell_angle_gamma 90.00
loop_
_atom_site_label
_atom_site_type_symbol
_atom_site_fract_x
_atom_site_fract_y
_atom_site_fract_z
_atom_site_occupancy
Pr1 Pr 0.000 0.000 0.000 1
Np1 Np 0.000 0.000 0.274 1
Te1 Te 0.000 0.000 0.636 1
S1 S 0.000 0.500 0.380 1
```

formation energy without anion corrections	-6.3	eV per formula unit



The following is a PBE-GGA calculation of a relaxed structure of Pr2NpTl3S6, from the Alexandria database.

Cell and atoms, written as CIF:
```
data_Pr2NpTl3S6
_symmetry_space_group_name_H-M 'C 1 2/m 1'
_symmetry_Int_Tables_number 12
_symmetry_space_group_name_Hall '-C 2y'
_cell_length_a 7.232
_cell_length_b 12.524
_cell_length_c 7.865
_cell_angle_alpha 90.00
_cell_angle_beta 107.85
_cell_angle_gamma 90.00
loop_
_atom_site_label
_atom_site_type_symbol
_atom_site_fract_x
_atom_site_fract_y
_atom_site_fract_z
_atom_site_occupancy
Pr1 Pr 0.000 0.167 0.000 1
Np1 Np 0.000 0.500 0.000 1
Tl1 Tl 0.000 0.000 0.500 1
Tl2 Tl 0.000 0.332 0.500 1
S1 S 0.230 0.338 0.202 1
S2 S 0.244 0.000 0.204 1
```

formation energy without anion corrections	-15.5	eV per formula unit



The following is a PBE-GGA calculation of a relaxed structure of PrTmNp2S4, from the Alexandria database.

Cell and atoms, written as CIF:
```
data_PrTmNp2S4
_symmetry_space_group_name_H-M 'P 1 2/m 1'
_symmetry_Int_Tables_number 10
_symmetry_space_group_name_Hall '-P 2y'
_cell_length_a 6.786
_cell_length_b 3.946
_cell_length_c 6.890
_cell_angle_alpha 90.00
_cell_angle_beta 109.58
_cell_angle_gamma 90.00
loop_
_atom_site_label
_atom_site_type_symbol
_atom_site_fract_x
_atom_site_fract_y
_atom_site_fract_z
_atom_site_occupancy
Pr1 Pr 0.000 0.000 0.000 1
Tm1 Tm 0.000 0.500 0.500 1
Np1 Np 0.500 0.000 0.500 1
Np2 Np 0.500 0.500 0.000 1
S1 S 0.250 0.000 0.741 1
S2 S 0.258 0.500 0.264 1
```

formation energy without anion corrections	-13.2	eV per formula unit



The following is a PBE-GGA calculation of a relaxed structure of PrNpSb, from the Alexandria database.

Cell and atoms, written as CIF:
```
data_PrNpSb
_symmetry_space_group_name_H-M 'P 4/n m m'
_symmetry_Int_Tables_number 129
_cell_length_a 4.376
_cell_length_b 4.376
_cell_length_c 9.007
_cell_angle_alpha 90.00
_cell_angle_beta 90.00
_cell_angle_gamma 90.00
loop_
_symmetry_equiv_pos_as_xyz
'x,y,z'
'-x,-y,-z'
'-y+1/2,x,z'
'y+1/2,-x,-z'
'-x+1/2,-y+1/2,z'
'x+1/2,y+1/2,-z'
'y,-x+1/2,z'
'-y,x+1/2,-z'
'x+1/2,-y,-z'
'-x+1/2,y,z'
'-y,-x,-z'
'y,x,z'
'-x,y+1/2,-z'
'x,-y+1/2,z'
'y+1/2,x+1/2,-z'
'-y+1/2,-x+1/2,z'
loop_
_atom_site_label
_atom_site_type_symbol
_atom_site_fract_x
_atom_site_fract_y
_atom_site_fract_z
_atom_site_occupancy
Pr1 Pr 0.250 0.250 0.142 1
Np1 Np 0.250 0.750 0.500 1
Sb1 Sb 0.250 0.250 0.773 1
```

formation energy without anion corrections	-1.5	eV per formula unit